1.
Entry from Alexandria: an optimized crystal structure of UH8Ir2Rh (PBE-GGA).

The structure in extended XYZ format:
```
12
Lattice="4.8340 0.0000 0.0000 -2.4170 4.1864 0.0000 0.0000 0.0000 5.7646" Properties=species:S:1:pos:R:3 pbc="T T T"
H 2.4170 1.3955 3.8197
H -1.1283 3.4423 4.8037
H 1.2888 0.7441 0.9609
H 0.0000 2.7909 1.9449
H 0.0000 1.4881 4.8037
H 2.4170 2.6983 0.9609
H 3.5453 0.7441 0.9609
H 1.1283 3.4423 4.8037
Ir 2.4170 1.3955 2.1908
Ir 0.0000 2.7909 3.5738
Rh 0.0000 0.0000 0.0000
U 0.0000 0.0000 2.8823
```

Calculated values
- crystal system = trigonal
- ρ (Mg/m³) = 10.44
- total energy (eV/atom) = -5.282


2.
Entry from Alexandria: an optimized crystal structure of ZnMo3 (PBE-GGA).

The structure in extended XYZ format:
```
4
Lattice="-0.3607 2.4468 1.2553 2.8899 -5.0633 7.6360 2.0349 1.8845 -0.0243" Properties=species:S:1:pos:R:3 pbc="T T T"
Mo 2.2670 -0.3502 4.3983
Mo 0.0151 -0.0158 0.0352
Mo 2.5859 -2.7146 6.0347
Zn 1.9781 1.9827 2.8322
```

Calculated values
- crystal system = trigonal
- ρ (Mg/m³) = 9.29
- total energy (eV/atom) = -8.134
- formation energy from the elements (eV/atom) = 0.3080


3.
Entry from Alexandria: an optimized crystal structure of CsTlIn2Fe (PBE-GGA).

The structure in extended XYZ format:
```
5
Lattice="5.1909 0.0000 0.0000 0.0000 5.1909 0.0000 0.0000 0.0000 5.2930" Properties=species:S:1:pos:R:3 pbc="T T T"
Tl 0.0000 0.0000 2.6465
Fe 0.0000 0.0000 0.0000
In 0.0000 2.5955 0.0000
In 2.5955 0.0000 0.0000
Cs 2.5955 2.5955 2.6465
```

Calculated values
- crystal system = tetragonal
- ρ (Mg/m³) = 7.25
- total energy (eV/atom) = -3.329
- formation energy from the elements (eV/atom) = 0.1031


4.
Entry from Alexandria: an optimized crystal structure of ZnCd2Ru (PBE-GGA).

The structure in extended XYZ format:
```
4
Lattice="-1.6657 3.6828 -3.0284 -2.2267 -4.4268 -0.9767 -2.1335 0.6420 1.9542" Properties=species:S:1:pos:R:3 pbc="T T T"
Cd 0.0000 0.0000 0.0000
Cd -1.9462 -0.3720 -2.0026
Zn -2.1801 -1.8924 0.4887
Ru -1.8996 2.1624 -0.5371
```

Calculated values
- crystal system = orthorhombic
- ρ (Mg/m³) = 9.28
- total energy (eV/atom) = -2.896
- formation energy from the elements (eV/atom) = 0.1986


5.
Entry from Alexandria: an optimized crystal structure of ScCdMo2 (PBE-GGA).

The structure in extended XYZ format:
```
8
Lattice="-5.1363 2.4758 4.9939 -1.4243 -7.1484 2.0790 -1.3478 -2.1676 5.4404" Properties=species:S:1:pos:R:3 pbc="T T T"
Mo -1.8249 -4.7215 3.2407
Mo -3.7694 0.1333 4.7842
Mo -3.4588 -3.3163 6.7147
Mo -6.7636 -5.7758 10.2871
Sc -3.2803 -2.3363 3.5365
Sc -3.0262 -5.8261 5.5280
Cd 0.0000 0.0000 0.0000
Cd -4.8822 -1.0140 6.9854
```

Calculated values
- crystal system = tetragonal
- ρ (Mg/m³) = 7.43
- total energy (eV/atom) = -6.349
- formation energy from the elements (eV/atom) = 0.8782


6.
Entry from Alexandria: an optimized crystal structure of Hg2AsHI (PBE-GGA).

The structure in extended XYZ format:
```
5
Lattice="-2.8029 -3.2522 3.4391 -3.1803 -1.6662 -4.1677 2.4748 -2.9027 -0.7280" Properties=species:S:1:pos:R:3 pbc="T T T"
I -1.7542 -3.9106 -0.7283
Hg -1.5901 -0.8331 -2.0839
Hg -1.4015 -1.6261 1.7195
As 0.0000 0.0000 0.0000
H 1.2374 -1.4513 -0.3640
```

Calculated values
- crystal system = tetragonal
- ρ (Mg/m³) = 8.54
- total energy (eV/atom) = -1.925


Question: Number 2 is which compound?
Answer: ZnMo3


Question: Which of these has the highest ρ?
Answer: UH8Ir2Rh


Question: What is the total energy in the sixth record?
Answer: -1.925 eV/atom


Question: Number 5 is which compound?
Answer: ScCdMo2